VASP calculation (PBE with a Hubbard U) on a relaxed ZrUCrO6 crystal.

Values from the calculation:
N(E_F): 0.593 states/eV per atom
Volume: 232.60 Å³ per cell
Crystal system: trigonal
Symmetry: P-31c, No. 163
Total DFT energy (no corrections): -81.378 eV/f.u.
Magnetic moment: 8.00 μB per cell

abc: 5.533 5.533 8.772
angles: 90.00 90.00 120.00
Site moments in Bohr magnetons follow the coordinates.
Element x y z (fractional)
O  0.332  0.331  0.872  -0.05
Cr  0.000  0.000  0.000  3.27
O  0.332  0.001  0.628  -0.05
U  0.333  0.667  0.750  0.80
O  0.001  0.332  0.128  -0.05
Cr  0.000  0.000  0.500  3.27
O  0.999  0.331  0.628  -0.05
O  0.999  0.668  0.872  -0.05
O  0.001  0.669  0.372  -0.05
O  0.669  0.001  0.872  -0.05
Zr  0.333  0.667  0.250  0.05
O  0.668  0.999  0.372  -0.05
O  0.331  0.999  0.128  -0.05
O  0.669  0.668  0.628  -0.05
Zr  0.667  0.333  0.750  0.05
O  0.668  0.669  0.128  -0.05
U  0.667  0.333  0.250  0.80
O  0.331  0.332  0.372  -0.05